La3Ho2Er6Pu | PBE-GGA | relaxed

Cell lengths 6.1851, 6.1851, 12.9882 Å; angles 103.80, 103.80, 119.97 degrees
With the nearest neighbours (Å) after each atom.
Atoms (fractional coordinates):
La 0.1668 0.8332 0.5000  6 La 3.57, 6 Er 3.59
La 0.8332 0.1668 0.5000  6 La 3.57, 6 Er 3.59
La 0.5000 0.5000 0.5000  6 Er 3.56, 6 La 3.57
Ho 0.3333 0.6667 0.0000  6 Er 3.47, 3 Pu 3.57, 3 Ho 3.57
Ho 0.6667 0.3333 0.0000  6 Er 3.47, 3 Pu 3.57, 3 Ho 3.57
Er 0.5721 0.2441 0.2435  1 Pu 3.44, 2 Ho 3.47, 6 Er 3.51-3.60, 3 La 3.56-3.59
Er 0.0840 0.0840 0.7565  1 Pu 3.44, 2 Ho 3.47, 6 Er 3.52-3.60, 3 La 3.56-3.59
Er 0.4279 0.7559 0.7565  1 Pu 3.44, 2 Ho 3.47, 6 Er 3.51-3.60, 3 La 3.56-3.59
Er 0.2441 0.5721 0.2435  1 Pu 3.44, 2 Ho 3.47, 6 Er 3.51-3.60, 3 La 3.56-3.59
Er 0.9160 0.9160 0.2435  1 Pu 3.44, 2 Ho 3.47, 6 Er 3.52-3.60, 3 La 3.56-3.59
Er 0.7559 0.4279 0.7565  1 Pu 3.44, 2 Ho 3.47, 6 Er 3.51-3.60, 3 La 3.56-3.59
Pu 0.0000 0.0000 0.0000  6 Er 3.44, 6 Ho 3.57

Results
The total energy comes out at -65.33 eV per formula unit. The value obtained for the formation energy is 0.026 eV/atom. Its crystal system is trigonal. As for the density of states at the Fermi level: 1.827 states/eV/atom. The volume comes out at 31.5 A^3/atom. The value obtained for the magnetic moment is 0.537 μB per atom.